Material: Nd2Lu2O5
Method: DFT, PBE
State: relaxed

Geometry as POSCAR:
```
Nd2Lu2O5
1.0
-2.9388 -5.8049 -4.2924
1.0748 -2.8570 3.1278
-3.9026 0.5874 1.8776
O Nd Lu
5 2 2
direct
0.2896 0.5000 0.0000
0.5000 0.5000 0.5000
0.7104 0.0000 0.5000
0.2896 0.0000 0.5000
0.7104 0.5000 0.0000
0.7742 0.5000 0.5000
0.2258 0.5000 0.5000
0.0000 0.0000 0.0000
0.5000 0.0000 0.0000
```

Summary:
Crystal system: tetragonal
Excess energy over the best structure of this formula in the dataset: 77.84 kJ/mol of atoms